The following is a DFT calculation (PBE) of an optimized crystal structure of LaCo2H.

Cell and atoms, written as extended XYZ:
```
4
Lattice="0.000 3.037 3.037 3.037 0.000 3.037 3.037 3.037 0.000" Properties=species:S:1:pos:R:3 pbc="T T T"
La 0.000 0.000 0.000
Co 1.519 1.519 1.519
Co 4.556 4.556 4.556
H 3.037 3.037 3.037
```

Summary:
As for the crystal system: cubic. Its energy above the most stable polymorph in this dataset is 0.874 eV per atom. Its symmetry is Fm-3m (225).